Record 1
! Sm2CoCu, relaxed, DFT PBE; values from VASP
&SYSTEM
  ibrav = 0, nat = 8, ntyp = 3
/
ATOMIC_SPECIES
Sm 150.36 Sm.upf
Co 58.93 Co.upf
Cu 63.55 Cu.upf
CELL_PARAMETERS angstrom
5.6246 0.0000 0.0000
0.0000 4.2579 0.0000
-2.7129 0.0000 7.2555
ATOMIC_POSITIONS crystal
Sm 0.2161 0.2500 0.4364
Sm 0.2266 0.2500 0.9246
Sm 0.7734 0.7500 0.0754
Sm 0.7839 0.7500 0.5636
Co 0.3627 0.7500 0.7180
Co 0.6373 0.2500 0.2820
Cu 0.3587 0.7500 0.2159
Cu 0.6413 0.2500 0.7841
! Magnetization in μB/cell: 0.00
! ΔE_f in meV per atom: -163.0
! Total DFT energy (no corrections) in eV for the cell shown: -42.6
! DOS at the Fermi energy in states/eV/f.u.: 2.8
! Crystal system: monoclinic
! Space-group type: P2_1/m (11)

Record 2
! Ba4SrRh2, relaxed, DFT PBE; values from VASP
&SYSTEM
  ibrav = 0, nat = 14, ntyp = 3
/
ATOMIC_SPECIES
Ba 137.33 Ba.upf
Sr 87.62 Sr.upf
Rh 102.91 Rh.upf
CELL_PARAMETERS angstrom
5.6375 -9.5050 0.0000
5.6375 9.5050 0.0000
-4.6589 0.0000 5.5760
ATOMIC_POSITIONS crystal
Ba 0.0124 0.4957 0.2263
Ba 0.0598 0.9402 0.5000
Ba 0.1158 0.3887 0.7115
Ba 0.3887 0.1158 0.2115
Ba 0.4466 0.5659 0.5043
Ba 0.4957 0.0124 0.7263
Ba 0.5659 0.4466 0.0043
Ba 0.9402 0.0598 0.0000
Sr 0.5931 0.9102 0.1982
Sr 0.9102 0.5931 0.6982
Rh 0.2487 0.2575 0.9929
Rh 0.2521 0.7531 0.7590
Rh 0.2575 0.2487 0.4929
Rh 0.7531 0.2521 0.2590
! Magnetization in μB/cell: 0.00
! ΔE_f in meV per atom: -122.6
! Total DFT energy (no corrections) in eV for the cell shown: -49.9
! DOS at the Fermi energy in states/eV/f.u.: 4.9
! Crystal system: monoclinic
! Space-group type: Cc (9)

Copy entry 1 word for word.
! Sm2CoCu, relaxed, DFT PBE; values from VASP
&SYSTEM
  ibrav = 0, nat = 8, ntyp = 3
/
ATOMIC_SPECIES
Sm 150.36 Sm.upf
Co 58.93 Co.upf
Cu 63.55 Cu.upf
CELL_PARAMETERS angstrom
5.6246 0.0000 0.0000
0.0000 4.2579 0.0000
-2.7129 0.0000 7.2555
ATOMIC_POSITIONS crystal
Sm 0.2161 0.2500 0.4364
Sm 0.2266 0.2500 0.9246
Sm 0.7734 0.7500 0.0754
Sm 0.7839 0.7500 0.5636
Co 0.3627 0.7500 0.7180
Co 0.6373 0.2500 0.2820
Cu 0.3587 0.7500 0.2159
Cu 0.6413 0.2500 0.7841
! Magnetization in μB/cell: 0.00
! ΔE_f in meV per atom: -163.0
! Total DFT energy (no corrections) in eV for the cell shown: -42.6
! DOS at the Fermi energy in states/eV/f.u.: 2.8
! Crystal system: monoclinic
! Space-group type: P2_1/m (11)